Model a:
## HoCu4Ni2 (GGA-PBE)

Data for a geometry-optimized HoCu4Ni2 structure.

Cell and atoms, written as CIF:
```
data_HoCu4Ni2
_cell_length_a 7.904
_cell_length_b 6.288
_cell_length_c 4.842
_cell_angle_alpha 90.00
_cell_angle_beta 127.51
_cell_angle_gamma 90.00
_symmetry_space_group_name_H-M 'C 1 2/m 1'
_symmetry_Int_Tables_number 12
_symmetry_space_group_name_Hall '-C 2y'
loop_
_atom_site_label
_atom_site_fract_x
_atom_site_fract_y
_atom_site_fract_z
_atom_site_occupancy
Ho1 0.000 0.000 0.000 1
Cu1 0.194 0.194 0.694 1
Ni1 0.000 0.500 0.250 1
```

## Properties
Magnetic moment (μB/atom): 0.000

***

Model b:
## HoCu4Ni2 (GGA-PBE)

Data for a geometry-optimized HoCu4Ni2 structure.

Cell and atoms, written as CIF:
```
data_HoCu4Ni2
_cell_length_a 7.110
_cell_length_b 7.110
_cell_length_c 4.948
_cell_angle_alpha 90.00
_cell_angle_beta 90.00
_cell_angle_gamma 90.00
_symmetry_space_group_name_H-M 'I 4/m m m'
_symmetry_Int_Tables_number 139
_symmetry_space_group_name_Hall '-I 4 2'
loop_
_atom_site_label
_atom_site_fract_x
_atom_site_fract_y
_atom_site_fract_z
_atom_site_occupancy
Ho1 0.000 0.000 0.000 1
Cu1 0.000 0.228 0.500 1
Ni1 0.000 0.500 0.250 1
```

## Properties
Magnetic moment (μB/atom): 0.000

***

Tell me which of them is the least stable. Sure, it is model b.

***

Model a:
## Ho2Cu3Ni2 (GGA-PBE)

Data for a geometry-optimized Ho2Cu3Ni2 structure.

Cell and atoms, written as CIF:
```
data_Ho2Cu3Ni2
_cell_length_a 9.590
_cell_length_b 4.075
_cell_length_c 6.255
_cell_angle_alpha 90.00
_cell_angle_beta 111.55
_cell_angle_gamma 90.00
_symmetry_space_group_name_H-M 'C 1 2/m 1'
_symmetry_Int_Tables_number 12
_symmetry_space_group_name_Hall '-C 2y'
loop_
_atom_site_label
_atom_site_fract_x
_atom_site_fract_y
_atom_site_fract_z
_atom_site_occupancy
Ho1 0.145 0.000 0.250 1
Cu1 0.000 0.500 0.500 1
Cu2 0.139 0.000 0.721 1
Ni1 0.111 0.500 0.932 1
```

## Properties
Magnetic moment (μB/atom): 0.000

***

Model b:
## Ho2Cu3Ni2 (GGA-PBE)

Data for a geometry-optimized Ho2Cu3Ni2 structure.

Cell and atoms, written as CIF:
```
data_Ho2Cu3Ni2
_cell_length_a 9.291
_cell_length_b 4.009
_cell_length_c 6.590
_cell_angle_alpha 90.00
_cell_angle_beta 113.38
_cell_angle_gamma 90.00
_symmetry_space_group_name_H-M 'C 1 2/m 1'
_symmetry_Int_Tables_number 12
_symmetry_space_group_name_Hall '-C 2y'
loop_
_atom_site_label
_atom_site_fract_x
_atom_site_fract_y
_atom_site_fract_z
_atom_site_occupancy
Ho1 0.139 0.000 0.264 1
Cu1 0.000 0.500 0.500 1
Cu2 0.131 0.500 0.934 1
Ni1 0.138 0.000 0.695 1
```

## Properties
Magnetic moment (μB/atom): 0.000

***

Tell me which of them is the least stable. Sure, it is model a.